#w
VASP calculation (PBE) on a geometry-optimized CrNiAg2 structure.

## Properties
The density of states at the Fermi level is 4.1 states/eV/cell.

Lattice parameters (Å, degrees): 4.9213 4.9213 4.9213 133.27 133.27 68.23
With the nearest neighbours (Å) after each atom.
Fractional positions:
1 Cr 0.0000 0.0000 0.0000  4 Ni 2.76, 8 Ag 2.82
2 Ni 0.5000 0.5000 0.0000  4 Cr 2.76, 8 Ag 2.82
3 Ag 0.2500 0.7500 0.5000  4 Ag 2.76, 4 Ni 2.82, 4 Cr 2.82
4 Ag 0.7500 0.2500 0.5000  4 Ag 2.76, 4 Ni 2.82, 4 Cr 2.82


#x
VASP calculation (PBE) on a geometry-optimized CrNiAg2 structure.

## Properties
The density of states at the Fermi level is 3.9 states/eV/cell.

Lattice parameters (Å, degrees): 4.4550 4.4550 4.4550 60.00 60.00 60.00
With the nearest neighbours (Å) after each atom.
Fractional positions:
1 Cr 0.0000 0.0000 0.0000  4 Ni 2.73, 4 Ag 2.73
2 Ni 0.2500 0.2500 0.2500  4 Ag 2.73, 4 Cr 2.73
3 Ag 0.5000 0.5000 0.5000  4 Ag 2.73, 4 Ni 2.73
4 Ag 0.7500 0.7500 0.7500  4 Cr 2.73, 4 Ag 2.73


#y
VASP calculation (PBE) on a geometry-optimized CrNiAg2 structure.

## Properties
The density of states at the Fermi level is 3.6 states/eV/cell.

Lattice parameters (Å, degrees): 9.0183 9.0183 9.0183 18.02 18.02 18.02
With the nearest neighbours (Å) after each atom.
Fractional positions:
1 Cr 0.0000 0.0000 0.0000  3 Ni 2.43
2 Ni 0.2655 0.2655 0.2655  3 Cr 2.43
3 Ag 0.5147 0.5147 0.5147  3 Ni 2.77, 9 Ag 2.82-2.99
4 Ag 0.7540 0.7540 0.7540  9 Ag 2.82-2.99, 3 Cr 2.84


#z
VASP calculation (PBE) on a geometry-optimized CrNiAg2 structure.

## Properties
The density of states at the Fermi level is 4.8 states/eV/cell.

Lattice parameters (Å, degrees): 4.8117 4.8117 4.8117 131.33 130.89 71.64
With the nearest neighbours (Å) after each atom.
Fractional positions:
1 Cr 0.0000 0.0000 0.0000  4 Ni 2.77-2.81, 8 Ag 2.79-2.82
2 Ni 0.7521 0.2521 0.5000  4 Cr 2.77-2.81, 8 Ag 2.78-2.82
3 Ag 0.2509 0.7509 0.5000  4 Cr 2.79, 4 Ag 2.79, 4 Ni 2.82
4 Ag 0.5019 0.5019 0.0000  4 Ni 2.78-2.79, 4 Ag 2.79, 4 Cr 2.82


It turns out #y is the most stable, with the second structure 9 meV/atom higher.


#w
VASP calculation (PBE) on a geometry-optimized CrNiAg2 structure.

## Properties
The density of states at the Fermi level is 3.8 states/eV/cell.

Lattice parameters (Å, degrees): 3.9121 3.9121 4.0412 90.00 90.00 90.00
With the nearest neighbours (Å) after each atom.
Fractional positions:
1 Cr 0.0000 0.0000 0.0000  4 Ni 2.77, 8 Ag 2.81
2 Ni 0.5000 0.5000 0.0000  4 Cr 2.77, 8 Ag 2.81
3 Ag 0.0000 0.5000 0.5000  4 Ag 2.77, 4 Cr 2.81, 4 Ni 2.81
4 Ag 0.5000 0.0000 0.5000  4 Ag 2.77, 4 Cr 2.81, 4 Ni 2.81


#x
VASP calculation (PBE) on a geometry-optimized CrNiAg2 structure.

## Properties
The density of states at the Fermi level is 3.4 states/eV/cell.

Lattice parameters (Å, degrees): 2.9078 2.9915 7.0410 90.00 90.08 90.00
With the nearest neighbours (Å) after each atom.
Fractional positions:
1 Cr 0.0000 0.0000 0.0000  4 Ni 2.43
2 Ni 0.4998 0.5000 0.8227  4 Cr 2.43
3 Ag 0.9997 0.0000 0.5676  4 Ni 2.75, 8 Ag 2.91-2.99, 1 Cr 3.04
4 Ag 0.4999 0.5000 0.2742  4 Cr 2.84, 8 Ag 2.91-2.99, 1 Ni 3.18


#y
VASP calculation (PBE) on a geometry-optimized CrNiAg2 structure.

## Properties
The density of states at the Fermi level is 4.5 states/eV/cell.

Lattice parameters (Å, degrees): 2.6700 2.6700 8.1440 90.00 90.00 90.00
With the nearest neighbours (Å) after each atom.
Fractional positions:
1 Cr 0.0000 0.0000 0.0000  4 Cr 2.67, 8 Ag 2.83
2 Ni 0.0000 0.0000 0.5000  4 Ni 2.67, 8 Ag 2.73
3 Ag 0.5000 0.5000 0.2582  4 Ag 2.67, 4 Ni 2.73, 4 Cr 2.83
4 Ag 0.5000 0.5000 0.7418  4 Ag 2.67, 4 Ni 2.73, 4 Cr 2.83


#z
VASP calculation (PBE) on a geometry-optimized CrNiAg2 structure.

## Properties
The density of states at the Fermi level is 4.1 states/eV/cell.

Lattice parameters (Å, degrees): 4.3547 4.3547 4.3547 60.00 60.00 60.00
With the nearest neighbours (Å) after each atom.
Fractional positions:
1 Cr 0.0000 0.0000 0.0000  8 Ag 2.67
2 Ni 0.5000 0.5000 0.5000  8 Ag 2.67
3 Ag 0.2500 0.2500 0.2500  4 Ni 2.67, 4 Cr 2.67
4 Ag 0.7500 0.7500 0.7500  4 Ni 2.67, 4 Cr 2.67


It turns out #x is the most stable, with the second structure 75 meV/atom higher.


#w
VASP calculation (PBE) on a geometry-optimized CrNiAg2 structure.

## Properties
The density of states at the Fermi level is 3.1 states/eV/cell.

Lattice parameters (Å, degrees): 4.9527 4.9527 4.6795 103.20 103.20 34.17
With the nearest neighbours (Å) after each atom.
Fractional positions:
1 Cr 0.0000 0.0000 0.0000  4 Ni 2.76, 6 Ag 2.82-2.86, 2 Cr 2.91
2 Ni 0.5000 0.5000 0.5000  6 Ag 2.72-2.94, 4 Cr 2.76, 2 Ni 2.91
3 Ag 0.2411 0.2411 0.7427  3 Ni 2.72-2.94, 6 Ag 2.74-2.91, 3 Cr 2.82-2.86
4 Ag 0.7589 0.7589 0.2573  3 Ni 2.72-2.94, 6 Ag 2.74-2.91, 3 Cr 2.82-2.86


#x
VASP calculation (PBE) on a geometry-optimized CrNiAg2 structure.

## Properties
The density of states at the Fermi level is 3.6 states/eV/cell.

Lattice parameters (Å, degrees): 4.8795 4.8795 4.7776 104.97 104.97 34.54
With the nearest neighbours (Å) after each atom.
Fractional positions:
1 Cr 0.0000 0.0000 0.0000  2 Ni 2.50, 2 Ag 2.75
2 Ni 0.2800 0.2800 0.7820  2 Cr 2.50, 4 Ag 2.73-2.76
3 Ag 0.5297 0.5297 0.5307  3 Ni 2.73-2.89, 4 Cr 2.75-2.87, 5 Ag 2.80-2.90
4 Ag 0.7635 0.7635 0.2651  4 Ni 2.76-2.83, 5 Ag 2.80-2.90, 3 Cr 2.82-2.84


It turns out #x is the most stable, with the second structure 8 meV/atom higher.


#w
VASP calculation (PBE) on a geometry-optimized CrNiAg2 structure.

## Properties
The density of states at the Fermi level is 2.9 states/eV/cell.

Lattice parameters (Å, degrees): 2.7969 4.6361 4.8945 90.00 94.87 90.00
With the nearest neighbours (Å) after each atom.
Fractional positions:
1 Cr 0.0000 0.0000 0.0000  4 Ni 2.71-2.92, 4 Ag 2.77, 2 Cr 2.80
2 Ni 0.5000 0.0000 0.5000  4 Ag 2.71, 4 Cr 2.71-2.92, 2 Ni 2.80
3 Ag 0.2700 0.5000 0.7447  2 Ni 2.71, 6 Ag 2.71-3.03, 2 Cr 2.77
4 Ag 0.7300 0.5000 0.2553  2 Ni 2.71, 6 Ag 2.71-3.03, 2 Cr 2.77


#x
VASP calculation (PBE) on a geometry-optimized CrNiAg2 structure.

## Properties
The density of states at the Fermi level is 5.8 states/eV/cell.

Lattice parameters (Å, degrees): 2.8803 3.9303 5.5110 90.00 90.00 90.00
With the nearest neighbours (Å) after each atom.
Fractional positions:
1 Cr 0.0000 0.0000 0.0000  2 Ni 2.76, 8 Ag 2.82, 2 Cr 2.88
2 Ni 0.0000 0.0000 0.5000  2 Cr 2.76, 8 Ag 2.78, 2 Ni 2.88
3 Ag 0.5000 0.5000 0.2560  4 Ag 2.69-2.88, 4 Ni 2.78, 4 Cr 2.82
4 Ag 0.5000 0.5000 0.7440  4 Ag 2.69-2.88, 4 Ni 2.78, 4 Cr 2.82


It turns out #x is the most stable, with the second structure 11 meV/atom higher.


#w
VASP calculation (PBE) on a geometry-optimized CrNi2Ag structure.

## Properties
The density of states at the Fermi level is 5.0 states/eV/cell.

Lattice parameters (Å, degrees): 4.6247 4.6247 4.5042 103.16 103.16 34.57
With the nearest neighbours (Å) after each atom.
Fractional positions:
1 Cr 0.0000 0.0000 0.0000  5 Ni 2.48-2.65, 2 Cr 2.75, 1 Ag 2.75
2 Ni 0.4747 0.4747 0.4440  2 Cr 2.48, 4 Ni 2.52-2.75, 3 Ag 2.63-2.67
3 Ni 0.7393 0.7393 0.1939  3 Cr 2.50-2.65, 4 Ni 2.52-2.75, 4 Ag 2.63-2.64
4 Ag 0.2328 0.2328 0.6894  7 Ni 2.63-2.67, 2 Ag 2.75, 3 Cr 2.75-2.80


#x
VASP calculation (PBE) on a geometry-optimized CrNi2Ag structure.

## Properties
The density of states at the Fermi level is 5.5 states/eV/cell.

Lattice parameters (Å, degrees): 4.6577 4.6577 4.6577 133.15 133.15 68.42
With the nearest neighbours (Å) after each atom.
Fractional positions:
1 Cr 0.0000 0.0000 0.0000  8 Ni 2.62-2.67, 4 Ag 2.67
2 Ni 0.2500 0.7500 0.5000  4 Ag 2.62, 4 Ni 2.67, 4 Cr 2.67
3 Ni 0.5000 0.5000 0.0000  4 Cr 2.62, 4 Ni 2.67, 4 Ag 2.67
4 Ag 0.7500 0.2500 0.5000  8 Ni 2.62-2.67, 4 Cr 2.67


#y
VASP calculation (PBE) on a geometry-optimized CrNi2Ag structure.

## Properties
The density of states at the Fermi level is 9.5 states/eV/cell.

Lattice parameters (Å, degrees): 5.3659 5.3659 5.3659 103.73 103.73 121.68
With the nearest neighbours (Å) after each atom.
Fractional positions:
1 Cr 0.0000 0.0000 0.0000  4 Ni 2.32
2 Cr 0.7500 0.2500 0.5000  4 Ni 2.32
3 Ni 0.0986 0.6250 0.9736  2 Cr 2.32, 2 Ag 2.55
4 Ni 0.3750 0.3486 0.4736  2 Cr 2.32, 2 Ag 2.55
5 Ni 0.6514 0.1250 0.0264  2 Cr 2.32, 2 Ag 2.55
6 Ni 0.8750 0.9014 0.5264  2 Cr 2.32, 2 Ag 2.55
7 Ag 0.2500 0.7500 0.5000  4 Ni 2.55, 2 Cr 2.61
8 Ag 0.5000 0.5000 0.0000  4 Ni 2.55, 2 Cr 2.61


#z
VASP calculation (PBE) on a geometry-optimized CrNi2Ag structure.

## Properties
The density of states at the Fermi level is 4.9 states/eV/cell.

Lattice parameters (Å, degrees): 8.7600 8.7600 8.7600 17.22 17.22 17.22
With the nearest neighbours (Å) after each atom.
Fractional positions:
1 Cr 0.0000 0.0000 0.0000  6 Ni 2.48, 6 Cr 2.62
2 Ni 0.2576 0.2576 0.2576  3 Cr 2.48, 6 Ni 2.62
3 Ni 0.7424 0.7424 0.7424  3 Cr 2.48, 6 Ni 2.62
4 Ag 0.5000 0.5000 0.5000  6 Ag 2.62, 6 Ni 2.80


It turns out #z is the most stable, with the second structure 67 meV/atom higher.


#w
VASP calculation (PBE) on a geometry-optimized CrNi2Ag structure.

## Properties
The density of states at the Fermi level is 5.0 states/eV/cell.

Lattice parameters (Å, degrees): 4.4342 4.4342 2.7977 90.00 90.00 103.67
With the nearest neighbours (Å) after each atom.
Fractional positions:
1 Cr 0.0000 0.0000 0.0000  8 Ni 2.62, 2 Ag 2.74, 2 Cr 2.80
2 Ni 0.0000 0.5000 0.5000  4 Cr 2.62, 4 Ag 2.62, 4 Ni 2.74-2.80
3 Ni 0.5000 0.0000 0.5000  4 Cr 2.62, 4 Ag 2.62, 4 Ni 2.74-2.80
4 Ag 0.5000 0.5000 0.0000  8 Ni 2.62, 2 Cr 2.74, 2 Ag 2.80


#x
VASP calculation (PBE) on a geometry-optimized CrNi2Ag structure.

## Properties
The density of states at the Fermi level is 6.9 states/eV/cell.

Lattice parameters (Å, degrees): 4.2500 4.2500 4.2500 60.00 60.00 60.00
With the nearest neighbours (Å) after each atom.
Fractional positions:
1 Cr 0.0000 0.0000 0.0000  4 Ni 2.60, 4 Ag 2.60
2 Ni 0.2500 0.2500 0.2500  4 Cr 2.60, 4 Ni 2.60
3 Ni 0.5000 0.5000 0.5000  4 Ni 2.60, 4 Ag 2.60
4 Ag 0.7500 0.7500 0.7500  4 Cr 2.60, 4 Ni 2.60


#y
VASP calculation (PBE) on a geometry-optimized CrNi2Ag structure.

## Properties
The density of states at the Fermi level is 4.8 states/eV/cell.

Lattice parameters (Å, degrees): 2.7700 3.4940 5.4903 90.00 90.00 90.00
With the nearest neighbours (Å) after each atom.
Fractional positions:
1 Cr 0.0000 0.0000 0.0000  5 Ni 2.36-2.49
2 Ni 0.0000 0.0000 0.4299  1 Cr 2.36, 4 Ni 2.55
3 Ni 0.5000 0.5000 0.2038  4 Cr 2.49, 6 Ni 2.55-2.77, 2 Ag 2.72-2.77
4 Ag 0.5000 0.5000 0.6998  6 Ni 2.68-2.77, 2 Ag 2.77, 4 Cr 2.77


It turns out #y is the most stable, with the second structure 16 meV/atom higher.